Record 1
VASP calculation (PBE) on a relaxed NaCuPd crystal.

Results
V: 16.4 Å³ per atom
Calculated formation energy: 0.084 eV per atom
ΔE to the lowest computed polymorph: 19.39 kJ per mole of atoms
Total magnetic moment: 0.00 Bohr magnetons per cell

```
data_NaCuPd
_cell_length_a 4.5293
_cell_length_b 4.5293
_cell_length_c 2.7645
_cell_angle_alpha 90.00
_cell_angle_beta 90.00
_cell_angle_gamma 120.00
_symmetry_space_group_name_H-M 'P 3 m 1'
_symmetry_Int_Tables_number 156
_symmetry_space_group_name_Hall 'P 3 -2"'
loop_
_atom_site_label
_atom_site_fract_x
_atom_site_fract_y
_atom_site_fract_z
Na1 0.0000 0.0000 0.0000
Cu1 0.6667 0.3333 0.6076
Pd1 0.3333 0.6667 0.4174
```

---

Record 2
VASP calculation (PBE) on a relaxed NaCu6Pd12 crystal.

Results
V: 14.6 Å³ per atom
Calculated formation energy: -0.051 eV per atom
ΔE to the lowest computed polymorph: 0.00 kJ per mole of atoms
Total magnetic moment: 0.00 Bohr magnetons per cell

```
data_NaCu6Pd12
_cell_length_a 11.9723
_cell_length_b 11.9723
_cell_length_c 6.7057
_cell_angle_alpha 90.00
_cell_angle_beta 90.00
_cell_angle_gamma 120.00
_symmetry_space_group_name_H-M 'R -3'
_symmetry_Int_Tables_number 148
_symmetry_space_group_name_Hall '-R 3'
loop_
_atom_site_label
_atom_site_fract_x
_atom_site_fract_y
_atom_site_fract_z
Na1 0.0000 0.0000 0.0000
Cu1 0.0336 0.7540 0.3274
Pd1 0.0129 0.8703 0.6613
Pd2 0.0650 0.5053 0.6711
```

---

Record 3
VASP calculation (PBE) on a relaxed NaCu6Pd6 crystal.

Results
V: 14.6 Å³ per atom
Calculated formation energy: -0.096 eV per atom
Total magnetic moment: 0.00 Bohr magnetons per cell

```
data_NaCu6Pd6
_cell_length_a 4.930
_cell_length_b 8.642
_cell_length_c 8.901
_cell_angle_alpha 90.00
_cell_angle_beta 90.00
_cell_angle_gamma 90.00
_symmetry_space_group_name_H-M 'I m m m'
_symmetry_Int_Tables_number 71
_symmetry_space_group_name_Hall '-I 2 2'
loop_
_atom_site_label
_atom_site_fract_x
_atom_site_fract_y
_atom_site_fract_z
Na1 0.000 0.000 0.000
Cu1 0.000 0.500 0.266
Cu2 0.250 0.250 0.250
Pd1 0.000 0.000 0.351
Pd2 0.000 0.310 0.500
Pd3 0.000 0.345 0.000
```

---

Record 4
VASP calculation (PBE) on a relaxed NaCu2Pd crystal.

Results
V: 16.6 Å³ per atom
Calculated formation energy: 0.343 eV per atom
ΔE to the lowest computed polymorph: 24.17 kJ per mole of atoms
Total magnetic moment: 0.00 Bohr magnetons per cell

```
data_NaCu2Pd
_cell_length_a 3.789
_cell_length_b 3.789
_cell_length_c 18.455
_cell_angle_alpha 90.00
_cell_angle_beta 90.00
_cell_angle_gamma 90.00
_symmetry_space_group_name_H-M 'I -4 2 d'
_symmetry_Int_Tables_number 122
_symmetry_space_group_name_Hall 'I -4 2bw'
loop_
_atom_site_label
_atom_site_fract_x
_atom_site_fract_y
_atom_site_fract_z
Na1 0.000 0.000 0.000
Cu1 0.216 0.250 0.625
Pd1 0.000 0.000 0.500
```

---

Record 5
VASP calculation (PBE) on a relaxed NaCuPd crystal.

Results
V: 17.1 Å³ per atom
Calculated formation energy: -0.117 eV per atom
ΔE to the lowest computed polymorph: 0.00 kJ per mole of atoms
Total magnetic moment: 0.00 Bohr magnetons per cell

```
data_NaCuPd
_cell_length_a 5.095
_cell_length_b 5.497
_cell_length_c 7.325
_cell_angle_alpha 90.00
_cell_angle_beta 90.00
_cell_angle_gamma 90.00
_symmetry_space_group_name_H-M 'I m m a'
_symmetry_Int_Tables_number 74
_symmetry_space_group_name_Hall '-I 2b 2'
loop_
_atom_site_label
_atom_site_fract_x
_atom_site_fract_y
_atom_site_fract_z
Na1 0.000 0.250 0.128
Cu1 0.250 0.250 0.750
Pd1 0.000 0.000 0.500
```

---

Record 6
VASP calculation (PBE) on a relaxed Na2CuPd2 crystal.

Results
V: 19.5 Å³ per atom
Calculated formation energy: 0.004 eV per atom
ΔE to the lowest computed polymorph: 3.08 kJ per mole of atoms
Total magnetic moment: 0.00 Bohr magnetons per cell

```
data_Na2CuPd2
_cell_length_a 6.486
_cell_length_b 6.486
_cell_length_c 4.637
_cell_angle_alpha 90.00
_cell_angle_beta 90.00
_cell_angle_gamma 90.00
_symmetry_space_group_name_H-M 'P 4/m b m'
_symmetry_Int_Tables_number 127
_symmetry_space_group_name_Hall '-P 4 2ab'
loop_
_atom_site_label
_atom_site_fract_x
_atom_site_fract_y
_atom_site_fract_z
Na1 0.170 0.330 0.000
Cu1 0.000 0.000 0.500
Pd1 0.143 0.643 0.500
```

---

Record 7
VASP calculation (PBE) on a relaxed NaCu5Pd4 crystal.

Results
V: 15.4 Å³ per atom
Calculated formation energy: 0.021 eV per atom
Total magnetic moment: 0.00 Bohr magnetons per cell

```
data_NaCu5Pd4
_cell_length_a 9.290
_cell_length_b 4.286
_cell_length_c 7.888
_cell_angle_alpha 90.00
_cell_angle_beta 100.74
_cell_angle_gamma 90.00
_symmetry_space_group_name_H-M 'C 1 2/m 1'
_symmetry_Int_Tables_number 12
_symmetry_space_group_name_Hall '-C 2y'
loop_
_atom_site_label
_atom_site_fract_x
_atom_site_fract_y
_atom_site_fract_z
Na1 0.000 0.000 0.000
Cu1 0.000 0.000 0.500
Cu2 0.200 0.500 0.924
Cu3 0.245 0.000 0.410
Pd1 0.019 0.500 0.324
Pd2 0.208 0.000 0.754
```

---

Record 8
VASP calculation (PBE) on a relaxed NaCuPdS2 crystal.

Results
V: 18.7 Å³ per atom
Total magnetic moment: 0.00 Bohr magnetons per cell
Uncorrected formation energy: -2.36 eV/f.u.

```
data_NaCuPdS2
_cell_length_a 6.496
_cell_length_b 3.830
_cell_length_c 7.626
_cell_angle_alpha 90.00
_cell_angle_beta 100.05
_cell_angle_gamma 90.00
_symmetry_space_group_name_H-M 'P 1 2/c 1'
_symmetry_Int_Tables_number 13
_symmetry_space_group_name_Hall '-P 2yc'
loop_
_atom_site_label
_atom_site_fract_x
_atom_site_fract_y
_atom_site_fract_z
Na1 0.000 0.001 0.250
Cu1 0.500 0.000 0.000
Pd1 0.500 0.500 0.250
S1 0.263 0.499 0.965
```

---

Record 9
VASP calculation (PBE) on a relaxed NaCuSb2Pd crystal.

Results
V: 24.7 Å³ per atom
Total magnetic moment: 0.00 Bohr magnetons per cell
Uncorrected formation energy: 0.84 eV/f.u.

```
data_NaCuSb2Pd
_cell_length_a 5.017
_cell_length_b 5.017
_cell_length_c 4.906
_cell_angle_alpha 90.00
_cell_angle_beta 90.00
_cell_angle_gamma 90.00
_symmetry_space_group_name_H-M 'P 4/m m m'
_symmetry_Int_Tables_number 123
_symmetry_space_group_name_Hall '-P 4 2'
loop_
_atom_site_label
_atom_site_fract_x
_atom_site_fract_y
_atom_site_fract_z
Na1 0.000 0.000 0.000
Cu1 0.500 0.500 0.500
Sb1 0.000 0.500 0.500
Pd1 0.500 0.500 0.000
```

---

Record 10
VASP calculation (PBE) on a relaxed NaCuPdSe2 crystal.

Results
V: 20.6 Å³ per atom
Total magnetic moment: 0.00 Bohr magnetons per cell
Uncorrected formation energy: -2.31 eV/f.u.

```
data_NaCuPdSe2
_cell_length_a 3.956
_cell_length_b 3.907
_cell_length_c 6.711
_cell_angle_alpha 90.00
_cell_angle_beta 96.39
_cell_angle_gamma 90.00
_symmetry_space_group_name_H-M 'P 1 2/m 1'
_symmetry_Int_Tables_number 10
_symmetry_space_group_name_Hall '-P 2y'
loop_
_atom_site_label
_atom_site_fract_x
_atom_site_fract_y
_atom_site_fract_z
Na1 0.000 0.000 0.000
Cu1 0.500 0.000 0.500
Pd1 0.000 0.500 0.500
Se1 0.455 0.500 0.256
```

---

Record 11
VASP calculation (PBE) on a relaxed Na2CuSi2Pd5 crystal.

Results
V: 16.3 Å³ per atom
Total magnetic moment: 0.00 Bohr magnetons per cell
Uncorrected formation energy: -4.21 eV/f.u.

```
data_Na2CuSi2Pd5
_cell_length_a 10.632
_cell_length_b 10.632
_cell_length_c 2.884
_cell_angle_alpha 90.00
_cell_angle_beta 90.00
_cell_angle_gamma 90.00
_symmetry_space_group_name_H-M 'P 4/m b m'
_symmetry_Int_Tables_number 127
_symmetry_space_group_name_Hall '-P 4 2ab'
loop_
_atom_site_label
_atom_site_fract_x
_atom_site_fract_y
_atom_site_fract_z
Na1 0.173 0.327 0.000
Cu1 0.000 0.000 0.000
Si1 0.134 0.634 0.000
Pd1 0.000 0.500 0.500
Pd2 0.063 0.802 0.500
```

---

Record 12
VASP calculation (PBE) on a relaxed NaCuSnPd crystal.

Results
V: 17.6 Å³ per atom
Calculated formation energy: -0.158 eV per atom
Total magnetic moment: 0.00 Bohr magnetons per cell

```
data_NaCuSnPd
_cell_length_a 6.551
_cell_length_b 6.551
_cell_length_c 6.551
_cell_angle_alpha 90.00
_cell_angle_beta 90.00
_cell_angle_gamma 90.00
_symmetry_space_group_name_H-M 'F -4 3 m'
_symmetry_Int_Tables_number 216
_symmetry_space_group_name_Hall 'F -4 2 3'
loop_
_atom_site_label
_atom_site_fract_x
_atom_site_fract_y
_atom_site_fract_z
Na1 0.000 0.000 0.000
Cu1 0.250 0.250 0.250
Sn1 0.000 0.000 0.500
Pd1 0.250 0.250 0.750
```

---

Record 13
VASP calculation (PBE) on a relaxed NaSr2CuPd crystal.

Results
V: 34.2 Å³ per atom
Calculated formation energy: -0.080 eV per atom
Total magnetic moment: 0.00 Bohr magnetons per cell

```
data_NaSr2CuPd
_cell_length_a 5.879
_cell_length_b 5.879
_cell_length_c 4.942
_cell_angle_alpha 90.00
_cell_angle_beta 90.00
_cell_angle_gamma 90.00
_symmetry_space_group_name_H-M 'P 4/m m m'
_symmetry_Int_Tables_number 123
_symmetry_space_group_name_Hall '-P 4 2'
loop_
_atom_site_label
_atom_site_fract_x
_atom_site_fract_y
_atom_site_fract_z
Na1 0.000 0.000 0.000
Sr1 0.000 0.500 0.500
Cu1 0.500 0.500 0.000
Pd1 0.500 0.500 0.500
```

---

Record 14
VASP calculation (PBE) on a relaxed NaCu2TcPd crystal.

Results
V: 17.9 Å³ per atom
Calculated formation energy: 1.506 eV per atom
Total magnetic moment: 3.66 Bohr magnetons per cell

```
data_NaCu2TcPd
_cell_length_a 4.407
_cell_length_b 4.407
_cell_length_c 4.614
_cell_angle_alpha 90.00
_cell_angle_beta 90.00
_cell_angle_gamma 90.00
_symmetry_space_group_name_H-M 'P 4/m m m'
_symmetry_Int_Tables_number 123
_symmetry_space_group_name_Hall '-P 4 2'
loop_
_atom_site_label
_atom_site_fract_x
_atom_site_fract_y
_atom_site_fract_z
Na1 0.000 0.000 0.000
Cu1 0.000 0.500 0.000
Tc1 0.500 0.500 0.500
Pd1 0.000 0.000 0.500
```

---

Record 15
VASP calculation (PBE) on a relaxed Na2CuTePd crystal.

Results
V: 26.1 Å³ per atom
Total magnetic moment: 0.00 Bohr magnetons per cell
Uncorrected formation energy: 1.05 eV/f.u.

```
data_Na2CuTePd
_cell_length_a 5.186
_cell_length_b 5.186
_cell_length_c 4.858
_cell_angle_alpha 90.00
_cell_angle_beta 90.00
_cell_angle_gamma 90.00
_symmetry_space_group_name_H-M 'P 4/m m m'
_symmetry_Int_Tables_number 123
_symmetry_space_group_name_Hall '-P 4 2'
loop_
_atom_site_label
_atom_site_fract_x
_atom_site_fract_y
_atom_site_fract_z
Na1 0.000 0.500 0.000
Cu1 0.000 0.000 0.500
Te1 0.500 0.500 0.500
Pd1 0.000 0.000 0.000
```

---

Record 16
VASP calculation (PBE) on a relaxed NaCuTePd2 crystal.

Results
V: 20.3 Å³ per atom
Total magnetic moment: 0.00 Bohr magnetons per cell
Uncorrected formation energy: 3.82 eV/f.u.

```
data_NaCuTePd2
_cell_length_a 4.749
_cell_length_b 4.749
_cell_length_c 4.504
_cell_angle_alpha 90.00
_cell_angle_beta 90.00
_cell_angle_gamma 90.00
_symmetry_space_group_name_H-M 'P 4/m m m'
_symmetry_Int_Tables_number 123
_symmetry_space_group_name_Hall '-P 4 2'
loop_
_atom_site_label
_atom_site_fract_x
_atom_site_fract_y
_atom_site_fract_z
Na1 0.000 0.000 0.000
Cu1 0.000 0.000 0.500
Te1 0.500 0.500 0.500
Pd1 0.000 0.500 0.000
```

---

Record 17
VASP calculation (PBE) on a relaxed Na2TlCu2Pd5 crystal.

Results
V: 17.4 Å³ per atom
Calculated formation energy: -0.124 eV per atom
Total magnetic moment: 0.00 Bohr magnetons per cell

```
data_Na2TlCu2Pd5
_cell_length_a 9.311
_cell_length_b 9.311
_cell_length_c 4.018
_cell_angle_alpha 90.00
_cell_angle_beta 90.00
_cell_angle_gamma 90.00
_symmetry_space_group_name_H-M 'P 4/m b m'
_symmetry_Int_Tables_number 127
_symmetry_space_group_name_Hall '-P 4 2ab'
loop_
_atom_site_label
_atom_site_fract_x
_atom_site_fract_y
_atom_site_fract_z
Na1 0.175 0.325 0.000
Tl1 0.000 0.000 0.000
Cu1 0.120 0.620 0.000
Pd1 0.000 0.500 0.500
Pd2 0.070 0.791 0.500
```

---

Record 18
VASP calculation (PBE) on a relaxed NaPm2Cu crystal.

Results
V: 31.3 Å³ per atom
Calculated formation energy: 0.184 eV per atom
ΔE to the lowest computed polymorph: 13.45 kJ per mole of atoms
Total magnetic moment: 0.00 Bohr magnetons per cell

```
data_NaPm2Cu
_cell_length_a 3.5744
_cell_length_b 3.5744
_cell_length_c 33.9084
_cell_angle_alpha 90.00
_cell_angle_beta 90.00
_cell_angle_gamma 120.00
_symmetry_space_group_name_H-M 'R -3 m'
_symmetry_Int_Tables_number 166
_symmetry_space_group_name_Hall '-R 3 2"'
loop_
_atom_site_label
_atom_site_fract_x
_atom_site_fract_y
_atom_site_fract_z
Na1 0.0000 0.0000 0.0000
Pm1 0.0000 0.0000 0.1059
Cu1 0.0000 0.0000 0.5000
```

---

Record 19
VASP calculation (PBE) on a relaxed NaPmCu4 crystal.

Results
V: 16.8 Å³ per atom
Calculated formation energy: -0.026 eV per atom
Total magnetic moment: 0.00 Bohr magnetons per cell

```
data_NaPmCu4
_cell_length_a 7.381
_cell_length_b 7.381
_cell_length_c 7.381
_cell_angle_alpha 90.00
_cell_angle_beta 90.00
_cell_angle_gamma 90.00
_symmetry_space_group_name_H-M 'F -4 3 m'
_symmetry_Int_Tables_number 216
_symmetry_space_group_name_Hall 'F -4 2 3'
loop_
_atom_site_label
_atom_site_fract_x
_atom_site_fract_y
_atom_site_fract_z
Na1 0.000 0.000 0.000
Pm1 0.250 0.250 0.250
Cu1 0.127 0.127 0.627
```

---

Record 20
VASP calculation (PBE) on a relaxed NaPm2Cu crystal.

Results
V: 29.4 Å³ per atom
Calculated formation energy: 0.045 eV per atom
ΔE to the lowest computed polymorph: 0.00 kJ per mole of atoms
Total magnetic moment: 0.05 Bohr magnetons per cell

```
data_NaPm2Cu
_cell_length_a 3.505
_cell_length_b 3.505
_cell_length_c 9.588
_cell_angle_alpha 90.00
_cell_angle_beta 90.00
_cell_angle_gamma 90.00
_symmetry_space_group_name_H-M 'P 4/m m m'
_symmetry_Int_Tables_number 123
_symmetry_space_group_name_Hall '-P 4 2'
loop_
_atom_site_label
_atom_site_fract_x
_atom_site_fract_y
_atom_site_fract_z
Na1 0.000 0.000 0.000
Pm1 0.500 0.500 0.317
Cu1 0.000 0.000 0.500
```